! PrBiRh3 (GGA-PBE, optimized geometry); values from VASP
! * theoretical density: 9.4 g/cm³
! * calculated total energy: -6.36 eV per atom
! * ΔH_f (0 K): -0.2179 eV/atom
! * Fermi-level density of states: 0.85 states/eV/atom
! * symmetry: No. 74
&SYSTEM
  ibrav = 0, nat = 10, ntyp = 3
/
ATOMIC_SPECIES
Pr 140.91 Pr.upf
Bi 208.98 Bi.upf
Rh 102.91 Rh.upf
ATOMIC_POSITIONS angstrom
Pr 0.0000 2.8353 0.4227
Pr 3.0032 2.8353 2.9761
Bi 3.0032 0.0000 0.0000
Bi 0.0000 0.0000 3.3988
Rh 1.5016 4.2165 -1.6994
Rh 1.5016 -1.4542 1.6994
Rh 3.0032 2.8353 0.1102
Rh 0.0000 2.8353 3.2886
Rh -1.5016 7.1249 1.6994
Rh 1.5016 7.1249 1.6994
CELL_PARAMETERS angstrom
-3.0032 5.6707 3.3988
3.0032 -5.6707 3.3988
3.0032 5.6707 -3.3988